Ho2ErBi PBE-GGA relaxed; calculated density = 9.605 Mg/m³; E above lowest polymorph = 201 meV/atom; ΔE_f = -0.19 eV per atom
1.0
-0.958 1.250 -3.269
-0.392 -2.301 -2.779
-10.768 -1.646 0.513
Ho Er Bi
2 1 1
direct
0.081 0.081 0.757
0.253 0.253 0.242
0.500 0.500 0.501
0.667 0.667 0.000


Ce3Dy2Tc2 PBE-GGA relaxed; calculated density = 8.903 Mg/m³; ΔE_f = -0.08 eV per atom
1.0
-0.097 0.876 3.770
-5.252 -1.979 2.313
0.959 -7.580 3.773
Ce Dy Tc
3 2 2
direct
0.500 0.000 0.000
0.385 0.800 0.429
0.615 0.200 0.571
0.163 0.484 0.190
0.837 0.516 0.810
0.147 0.935 0.772
0.853 0.065 0.228


ThMnP2Ru PBE-GGA relaxed; calculated density = 9.301 Mg/m³; ΔE_f = -0.95 eV per atom
1.0
-1.121 3.803 -0.835
-3.578 -0.664 1.780
4.203 -0.084 3.807
Th Mn P Ru
1 1 2 1
direct
0.000 0.000 0.000
0.750 0.250 0.500
0.636 0.636 0.272
0.364 0.364 0.728
0.250 0.750 0.500